Computed, not measured: crystalline Fe2CuAs at its relaxed geometry at the PBE level of DFT.

Structure (POSCAR):
```
Fe2CuAs
1.0
3.3222 0.0000 0.0000
0.0000 4.1989 0.0000
0.0000 0.0000 7.8263
Fe Cu As
4 2 2
Cartesian
0.0000 0.0000 0.0000
0.0000 2.0994 1.8175
1.6611 0.0000 1.8175
1.6611 2.0994 0.0000
0.0000 2.0994 5.9617
1.6611 0.0000 5.9617
0.0000 0.0000 3.7506
1.6611 2.0994 3.7506
```

## Properties
As for the space-group type: Cmm2, No. 35. Its density of states at the Fermi level is 0.47 states/eV per atom. The formation energy is 0.212 eV/atom.


Computed, not measured: crystalline SmFe10Mo2 at its relaxed geometry at the PBE level of DFT.

Structure (POSCAR):
```
SmFe10Mo2
1.0
-2.3608 4.2851 4.3174
2.3608 -4.2851 4.3174
2.3608 4.2851 -4.3174
Sm Fe Mo
1 10 2
Cartesian
0.0000 0.0000 0.0000
1.1804 2.1426 -2.1587
1.1804 -2.1426 2.1587
2.3608 1.8995 0.0000
2.3608 0.0000 1.9790
0.0000 3.0717 0.0000
-1.1804 2.1426 2.1587
1.1804 2.1426 2.1587
0.0000 5.4986 0.0000
0.0000 4.2851 2.3384
0.0000 2.3856 4.3174
0.0000 0.0000 3.0918
0.0000 0.0000 5.5430
```

## Properties
As for the space-group type: Immm, No. 71. Its density of states at the Fermi level is 0.91 states/eV per atom. The formation energy is 0.013 eV/atom.


Computed, not measured: crystalline ZnSi2Cl at its relaxed geometry at the PBE level of DFT.

Structure (POSCAR):
```
ZnSi2Cl
1.0
2.8897 0.0000 0.0000
0.0000 4.4202 0.0000
0.0000 0.0000 11.2180
Zn Si Cl
2 4 2
Cartesian
0.0000 0.0000 0.0000
1.4448 2.2101 5.6090
0.0000 2.2101 3.3010
0.0000 2.2101 7.9170
1.4448 0.0000 2.3080
1.4448 0.0000 8.9101
0.0000 0.0000 5.6090
1.4448 2.2101 0.0000
```

## Properties
As for the space-group type: Immm, No. 71. Its density of states at the Fermi level is 0.34 states/eV per atom. For the formation energy (no corrections), the calculation gives 30.5 kJ/mol of atoms.


Computed, not measured: crystalline OsPbI2N at its relaxed geometry at the PBE level of DFT.

Structure (POSCAR):
```
OsPbI2N
1.0
6.2495 0.0000 0.0000
0.0000 6.2495 0.0000
0.0000 0.0000 4.1726
Os Pb I N
1 1 2 1
Cartesian
0.0000 0.0000 0.0000
3.1247 3.1247 2.0863
0.0000 3.1247 2.0863
3.1247 0.0000 2.0863
3.1247 3.1247 0.0000
```

## Properties
As for the space-group type: P4/mmm, No. 123. Its density of states at the Fermi level is 1.71 states/eV per atom. For the formation energy (no corrections), the calculation gives 192.8 kJ/mol of atoms.


Computed, not measured: crystalline KTe2Rh at its relaxed geometry at the PBE level of DFT.

Structure (POSCAR):
```
KTe2Rh
1.0
4.1468 0.0000 0.0000
-2.0734 3.5913 0.0000
0.0000 0.0000 23.1223
K Te Rh
3 6 3
Cartesian
0.0000 0.0000 0.0000
0.0000 2.3942 15.4149
2.0734 1.1971 7.7074
0.0000 0.0000 5.1332
0.0000 0.0000 17.9892
0.0000 2.3942 10.2817
0.0000 2.3942 20.5480
2.0734 1.1971 2.5743
2.0734 1.1971 12.8406
0.0000 0.0000 11.5612
0.0000 2.3942 3.8537
2.0734 1.1971 19.2686
```

## Properties
As for the space-group type: R-3m, No. 166. For the formation energy (no corrections), the calculation gives -59.7 kJ/mol of atoms.


Computed, not measured: crystalline NaInTcO2 at its relaxed geometry at the PBE level of DFT.

Structure (POSCAR):
```
NaInTcO2
1.0
3.8889 0.0000 0.0000
0.0000 3.8889 0.0000
0.0000 0.0000 5.9688
Na In Tc O
1 1 1 2
Cartesian
0.0000 0.0000 0.0000
1.9444 1.9444 0.0000
0.0000 0.0000 2.9844
0.0000 1.9444 2.9844
1.9444 0.0000 2.9844
```

## Properties
As for the space-group type: P4/mmm, No. 123. Its density of states at the Fermi level is 0.59 states/eV per atom. For the formation energy (no corrections), the calculation gives -41.2 kJ/mol of atoms.